Material: TcRu
Method: DFT, PBE
State: optimized geometry

abc: 3.5762 3.5762 3.5762
angles: 60.00 60.00 60.00
Positions (direct):
Tc  0.0000  0.0000  0.0000
Ru  0.5000  0.5000  0.5000

Properties
E_form: 2.1 eV/f.u.
calculated total energy: -8.760 eV per atom
total moment: 0.00 μB/f.u.
excess energy over the best structure of this formula in the dataset: 1128 meV per atom

***

Material: ErUSi2
Method: DFT, PBE
State: optimized geometry

abc: 6.8712 6.8712 6.8712
angles: 34.61 34.61 34.61
Positions (direct):
Er  0.0000  0.0000  0.0000
U  0.5000  0.5000  0.5000
Si  0.2449  0.2449  0.2449
Si  0.7551  0.7551  0.7551

Properties
formation energy (no corrections): -5.60 kcal/mol of atoms
calculated total energy: -6.917 eV per atom
total moment: 0.82 μB/f.u.